Entry 1:
Entry from the Alexandria database: Mo3BrCl after structural relaxation (PBE). Values from VASP.

Structure (Quantum ESPRESSO input):
```
&SYSTEM
  ibrav = 0, nat = 5, ntyp = 3
/
ATOMIC_SPECIES
Cl 35.45 Cl.upf
Mo 95.94 Mo.upf
Br 79.90 Br.upf
ATOMIC_POSITIONS crystal
Cl 0.000 0.000 0.000
Mo 0.000 0.000 0.500
Mo 0.000 0.500 0.000
Mo 0.500 0.000 0.000
Br 0.500 0.500 0.500
CELL_PARAMETERS angstrom
4.503 0.000 0.000
0.000 4.503 0.000
0.000 0.000 4.503
```

raw total energy	-28.5	eV for the cell shown
space group	Pm-3m

=====

Entry 2:
Entry from the Alexandria database: MoBrCl2 after structural relaxation (PBE). Values from VASP.

Structure (Quantum ESPRESSO input):
```
&SYSTEM
  ibrav = 0, nat = 4, ntyp = 3
/
ATOMIC_SPECIES
Br 79.90 Br.upf
Mo 95.94 Mo.upf
Cl 35.45 Cl.upf
ATOMIC_POSITIONS crystal
Br 0.500 0.750 0.750
Mo 0.500 0.250 0.250
Cl 0.000 0.121 0.121
Cl 0.000 0.379 0.379
CELL_PARAMETERS angstrom
-0.063 -3.439 -1.284
1.164 -2.415 6.412
-3.960 -1.934 5.376
```

excess energy over the best structure of this formula in the dataset	2.4	kJ per mole of atoms
space group	Cmmm

=====

Entry 3:
Entry from the Alexandria database: MoBr2Cl after structural relaxation (PBE). Values from VASP.

Structure (Quantum ESPRESSO input):
```
&SYSTEM
  ibrav = 0, nat = 4, ntyp = 3
/
ATOMIC_SPECIES
Cl 35.45 Cl.upf
Br 79.90 Br.upf
Mo 95.94 Mo.upf
ATOMIC_POSITIONS crystal
Cl 0.000 0.634 0.634
Br 0.500 0.222 0.222
Br 0.000 0.889 0.889
Mo 0.500 0.755 0.755
CELL_PARAMETERS angstrom
-2.800 0.934 2.348
-0.643 -6.895 1.977
2.730 -4.398 5.006
```

excess energy over the best structure of this formula in the dataset	1.5	kJ per mole of atoms
space group	Amm2

=====

Entry 4:
Entry from the Alexandria database: MoBr3Cl after structural relaxation (PBE). Values from VASP.

Structure (Quantum ESPRESSO input):
```
&SYSTEM
  ibrav = 0, nat = 5, ntyp = 3
/
ATOMIC_SPECIES
Cl 35.45 Cl.upf
Br 79.90 Br.upf
Mo 95.94 Mo.upf
ATOMIC_POSITIONS crystal
Cl 0.500 0.500 0.500
Br 0.500 0.000 0.000
Br 0.000 0.000 0.500
Br 0.000 0.500 0.000
Mo 0.000 0.000 0.000
CELL_PARAMETERS angstrom
-1.291 1.809 -4.533
1.943 -4.111 -2.194
-4.477 -2.306 0.355
```

excess energy over the best structure of this formula in the dataset	52.5	kJ per mole of atoms
space group	Pm-3m

=====

Entry 5:
Entry from the Alexandria database: MoBr2Cl after structural relaxation (PBE). Values from VASP.

Structure (Quantum ESPRESSO input):
```
&SYSTEM
  ibrav = 0, nat = 4, ntyp = 3
/
ATOMIC_SPECIES
Mo 95.94 Mo.upf
Br 79.90 Br.upf
Cl 35.45 Cl.upf
ATOMIC_POSITIONS crystal
Mo 0.250 0.250 0.250
Br 0.981 0.981 0.057
Br 0.519 0.519 0.443
Cl 0.750 0.750 0.750
CELL_PARAMETERS angstrom
3.973 -0.008 0.028
1.997 3.435 0.028
1.930 1.108 7.232
```

excess energy over the best structure of this formula in the dataset	48.0	kJ per mole of atoms
space group	C2/m

=====

Entry 6:
Entry from the Alexandria database: MoBrCl2 after structural relaxation (PBE). Values from VASP.

Structure (Quantum ESPRESSO input):
```
&SYSTEM
  ibrav = 0, nat = 4, ntyp = 3
/
ATOMIC_SPECIES
Mo 95.94 Mo.upf
Cl 35.45 Cl.upf
Br 79.90 Br.upf
ATOMIC_POSITIONS crystal
Mo 0.000 0.000 0.497
Cl 0.500 0.500 0.314
Cl 0.000 0.000 0.995
Br 0.500 0.500 0.694
CELL_PARAMETERS angstrom
3.430 0.003 0.000
-2.082 2.726 0.000
0.000 0.000 10.322
```

excess energy over the best structure of this formula in the dataset	70.9	kJ per mole of atoms
space group	Cmm2

=====

Entry 7:
Entry from the Alexandria database: MoBr2Cl after structural relaxation (PBE). Values from VASP.

Structure (Quantum ESPRESSO input):
```
&SYSTEM
  ibrav = 0, nat = 4, ntyp = 3
/
ATOMIC_SPECIES
Br 79.90 Br.upf
Cl 35.45 Cl.upf
Mo 95.94 Mo.upf
ATOMIC_POSITIONS crystal
Br 0.000 0.000 0.546
Br 0.000 0.000 0.954
Cl 0.500 0.500 0.250
Mo 0.500 0.500 0.750
CELL_PARAMETERS angstrom
-2.675 0.134 5.111
2.462 -3.296 -4.046
8.321 0.898 4.331
```

excess energy over the best structure of this formula in the dataset	69.5	kJ per mole of atoms
space group	Cmmm

=====

Entry 8:
Entry from the Alexandria database: Mo2BrCl after structural relaxation (PBE). Values from VASP.

Structure (Quantum ESPRESSO input):
```
&SYSTEM
  ibrav = 0, nat = 4, ntyp = 3
/
ATOMIC_SPECIES
Cl 35.45 Cl.upf
Mo 95.94 Mo.upf
Br 79.90 Br.upf
ATOMIC_POSITIONS crystal
Cl 0.000 0.500 0.500
Mo 0.000 0.000 0.000
Mo 0.500 0.500 0.000
Br 0.500 0.000 0.500
CELL_PARAMETERS angstrom
2.894 0.000 0.000
0.000 5.654 0.000
0.000 0.000 4.441
```

excess energy over the best structure of this formula in the dataset	95.3	kJ per mole of atoms
space group	Pmmm